No. 1
A plane-wave DFT calculation with PBE was carried out for crystalline RbZnHg2 at its relaxed geometry.

Its offset from the most stable computed form is 0.18 eV/f.u.

It has space group I-42d (No. 122), with a = 5.938 Å, b = 5.938 Å, c = 18.150 Å, α = 90.00°, β = 90.00° and γ = 90.00°. The inequivalent atoms are Rb at (0.000, 0.000, 0.000), Zn at (0.000, 0.000, 0.500) and Hg at (0.003, 0.250, 0.625).

---

No. 2
A plane-wave DFT calculation with PBE was carried out for crystalline Tm4BiRu at its relaxed geometry.

Its offset from the most stable computed form is 1.77 eV/f.u.

It has space group C2/m (No. 12), with a = 17.128 Å, b = 5.248 Å, c = 9.314 Å, α = 90.00°, β = 107.19° and γ = 90.00°. The inequivalent atoms are Tm at (0.007, 0.000, 0.251), Tm at (0.101, 0.500, 0.054), Tm at (0.200, 0.000, 0.908), Tm at (0.234, 0.000, 0.311), Bi at (0.147, 0.000, 0.565) and Ru at (0.092, 0.000, 0.057).

---

No. 3
A plane-wave DFT calculation with PBE was carried out for crystalline ScTaZn at its relaxed geometry.

Its offset from the most stable computed form is 0.18 eV/f.u.

It has space group I4mm (No. 107), with a = 2.945 Å, b = 2.945 Å, c = 12.679 Å, α = 90.00°, β = 90.00° and γ = 90.00°. The inequivalent atoms are Sc at (0.000, 0.000, 0.000), Ta at (0.000, 0.000, 0.679) and Zn at (0.000, 0.000, 0.333).

---

No. 4
A plane-wave DFT calculation with PBE was carried out for crystalline Ho6TmIn5 at its relaxed geometry.

Its offset from the most stable computed form is 0.00 eV/f.u.

It has space group Immm (No. 71), with a = 4.931 Å, b = 8.810 Å, c = 14.901 Å, α = 90.00°, β = 90.00° and γ = 90.00°. The inequivalent atoms are Ho at (0.000, 0.229, 0.000), Ho at (0.000, 0.262, 0.330), Tm at (0.000, 0.000, 0.500), In at (0.000, 0.000, 0.176), In at (0.000, 0.500, 0.151) and In at (0.000, 0.500, 0.500).

---

No. 5
A plane-wave DFT calculation with PBE was carried out for crystalline MnReI2N at its relaxed geometry.

Its offset from the most stable computed form is 0.00 eV/f.u. The value obtained for the uncorrected formation energy is 663.5 meV per atom.

It has space group P4/mmm (No. 123), with a = 5.607 Å, b = 5.607 Å, c = 3.778 Å, α = 90.00°, β = 90.00° and γ = 90.00°. The inequivalent atoms are Mn at (0.000, 0.000, 0.000), Re at (0.500, 0.500, 0.500), I at (0.000, 0.500, 0.500) and N at (0.500, 0.500, 0.000).

---

No. 6
A plane-wave DFT calculation with PBE was carried out for crystalline TiSiW2Au at its relaxed geometry.

The value obtained for the uncorrected formation energy is 1906.4 meV per atom.

It has space group P4/mmm (No. 123), with a = 4.583 Å, b = 4.583 Å, c = 4.923 Å, α = 90.00°, β = 90.00° and γ = 90.00°. The inequivalent atoms are Ti at (0.000, 0.000, 0.000), Si at (0.500, 0.500, 0.500), W at (0.000, 0.500, 0.000) and Au at (0.000, 0.000, 0.500).

---

No. 7
A plane-wave DFT calculation with PBE was carried out for crystalline KHo2MgTe4 at its relaxed geometry.

The value obtained for the uncorrected formation energy is -1158.1 meV per atom.

It has space group Cmcm (No. 63), with a = 4.440 Å, b = 15.133 Å, c = 15.723 Å, α = 90.00°, β = 90.00° and γ = 90.00°. The inequivalent atoms are K at (0.000, 0.122, 0.250), Ho at (0.000, 0.374, 0.056), Mg at (0.000, 0.160, 0.750), Te at (0.000, 0.000, 0.000), Te at (0.000, 0.265, 0.608) and Te at (0.000, 0.447, 0.250).

---

No. 8
A plane-wave DFT calculation with PBE was carried out for crystalline K2PuCu3Cl12 at its relaxed geometry.

The value obtained for the uncorrected formation energy is -1109.5 meV per atom.

It has space group R-3m (No. 166, hexagonal axes), with a = 8.4779 Å, b = 8.4779 Å, c = 27.1319 Å, α = 90.00°, β = 90.00° and γ = 120.00°. The inequivalent atoms are K at (0.0000, 0.0000, 0.0796), Pu at (0.0000, 0.0000, 0.5000), Cu at (0.0000, 0.5000, 0.0000), Cl at (0.0469, 0.5234, 0.1131) and Cl at (0.0670, 0.5335, 0.3509).

---

No. 9
A plane-wave DFT calculation with PBE was carried out for crystalline Ca2LaTe at its relaxed geometry.

The value obtained for the uncorrected formation energy is -628.9 meV per atom.

It has space group P4mm (No. 99), with a = 3.908 Å, b = 3.908 Å, c = 9.651 Å, α = 90.00°, β = 90.00° and γ = 90.00°. The inequivalent atoms are Ca at (0.000, 0.000, 0.000), Ca at (0.500, 0.500, 0.303), La at (0.000, 0.000, 0.609) and Te at (0.500, 0.500, 0.804).

---

No. 10
A plane-wave DFT calculation with PBE was carried out for crystalline Y2MgPdO5 at its relaxed geometry.

The value obtained for the uncorrected formation energy is -2252.9 meV per atom.

It has space group P4/mbm (No. 127), with a = 6.447 Å, b = 6.447 Å, c = 5.774 Å, α = 90.00°, β = 90.00° and γ = 90.00°. The inequivalent atoms are Y at (0.172, 0.328, 0.000), Mg at (0.000, 0.000, 0.500), Pd at (0.000, 0.500, 0.500), O at (0.000, 0.000, 0.000) and O at (0.148, 0.648, 0.249).

---

No. 11
A plane-wave DFT calculation with PBE was carried out for crystalline Tl3PW at its relaxed geometry.

Its offset from the most stable computed form is 0.00 eV/f.u.

It has space group Pm-3m (No. 221), with a = 5.428 Å, b = 5.428 Å, c = 5.428 Å, α = 90.00°, β = 90.00° and γ = 90.00°. The inequivalent atoms are Tl at (0.000, 0.000, 0.500), P at (0.500, 0.500, 0.500) and W at (0.000, 0.000, 0.000).

---

No. 12
A plane-wave DFT calculation with PBE was carried out for crystalline MgBeB at its relaxed geometry.

Its offset from the most stable computed form is 0.51 eV/f.u.

It has space group Imm2 (No. 44), with a = 3.072 Å, b = 3.434 Å, c = 12.765 Å, α = 90.00°, β = 90.00° and γ = 90.00°. The inequivalent atoms are Mg at (0.000, 0.000, 0.000), Mg at (0.000, 0.000, 0.341), Be at (0.000, 0.000, 0.585), Be at (0.000, 0.500, 0.679), B at (0.000, 0.000, 0.750) and B at (0.000, 0.500, 0.185).

---

No. 13
A plane-wave DFT calculation with PBE was carried out for crystalline HgIr2Au at its relaxed geometry.

It has space group I-42d (No. 122), with a = 3.931 Å, b = 3.931 Å, c = 19.577 Å, α = 90.00°, β = 90.00° and γ = 90.00°. The inequivalent atoms are Hg at (0.000, 0.000, 0.000), Ir at (0.198, 0.250, 0.625) and Au at (0.000, 0.000, 0.500).

---

No. 14
A plane-wave DFT calculation with PBE was carried out for crystalline CsGeS2 at its relaxed geometry.

The value obtained for the uncorrected formation energy is -826.4 meV per atom.

It has space group Pnma (No. 62), with a = 9.747 Å, b = 6.901 Å, c = 15.770 Å, α = 90.00°, β = 90.00° and γ = 90.00°. The inequivalent atoms are Cs at (0.026, 0.250, 0.132), Cs at (0.199, 0.750, 0.324), Ge at (0.085, 0.750, 0.547), Ge at (0.221, 0.250, 0.580), S at (0.057, 0.750, 0.094), S at (0.124, 0.504, 0.652) and S at (0.162, 0.250, 0.441).

---

No. 15
A plane-wave DFT calculation with PBE was carried out for crystalline ZrNiSe2N at its relaxed geometry.

Its offset from the most stable computed form is 0.00 eV/f.u. The value obtained for the uncorrected formation energy is 55.8 meV per atom.

It has space group P4/mmm (No. 123), with a = 4.896 Å, b = 4.896 Å, c = 3.497 Å, α = 90.00°, β = 90.00° and γ = 90.00°. The inequivalent atoms are Zr at (0.000, 0.000, 0.000), Ni at (0.500, 0.500, 0.500), Se at (0.000, 0.500, 0.500) and N at (0.500, 0.500, 0.000).

---

No. 16
A plane-wave DFT calculation with PBE was carried out for crystalline Sr2SiGe4 at its relaxed geometry.

The value obtained for the uncorrected formation energy is -14.4 meV per atom.

It has space group I4/mmm (No. 139), with a = 4.997 Å, b = 4.997 Å, c = 15.388 Å, α = 90.00°, β = 90.00° and γ = 90.00°. The inequivalent atoms are Sr at (0.000, 0.000, 0.142), Si at (0.000, 0.000, 0.500), Ge at (0.000, 0.000, 0.348) and Ge at (0.000, 0.500, 0.000).

---

No. 17
A plane-wave DFT calculation with PBE was carried out for crystalline UTi2Co at its relaxed geometry.

Its offset from the most stable computed form is 0.94 eV/f.u.

It has space group P4/mmm (No. 123), with a = 4.610 Å, b = 4.610 Å, c = 2.984 Å, α = 90.00°, β = 90.00° and γ = 90.00°. The inequivalent atoms are U at (0.000, 0.000, 0.000), Ti at (0.000, 0.500, 0.500) and Co at (0.500, 0.500, 0.000).

---

No. 18
A plane-wave DFT calculation with PBE was carried out for crystalline BeSbClO2 at its relaxed geometry.

The value obtained for the uncorrected formation energy is -184.2 meV per atom.

It has space group P4/mmm (No. 123), with a = 3.693 Å, b = 3.693 Å, c = 5.153 Å, α = 90.00°, β = 90.00° and γ = 90.00°. The inequivalent atoms are Be at (0.000, 0.000, 0.000), Sb at (0.000, 0.000, 0.500), Cl at (0.500, 0.500, 0.500) and O at (0.000, 0.500, 0.000).

---

No. 19
A plane-wave DFT calculation with PBE was carried out for crystalline SrS4 at its relaxed geometry.

Its offset from the most stable computed form is 0.00 eV/f.u. The value obtained for the uncorrected formation energy is -315.8 meV per atom.

It has space group I4/m (No. 87), with a = 6.718 Å, b = 6.718 Å, c = 5.264 Å, α = 90.00°, β = 90.00° and γ = 90.00°. The inequivalent atoms are Sr at (0.000, 0.000, 0.000) and S at (0.021, 0.241, 0.500).

---

No. 20
A plane-wave DFT calculation with PBE was carried out for crystalline Re2TcBr at its relaxed geometry.

Its offset from the most stable computed form is 1.88 eV/f.u. The value obtained for the uncorrected formation energy is 1035.5 meV per atom.

It has space group Pmmm (No. 47), with a = 2.943 Å, b = 4.567 Å, c = 4.643 Å, α = 90.00°, β = 90.00° and γ = 90.00°. The inequivalent atoms are Re at (0.000, 0.000, 0.000), Re at (0.500, 0.500, 0.000), Tc at (0.000, 0.500, 0.500) and Br at (0.500, 0.000, 0.500).

---

| no. | E (eV per atom) | total magnetization (μB per formula unit) |
| --- | --- | --- |
| 1 | -0.7510 | 0.0 |
| 2 | -5.3922 | 0.0 |
| 3 | -6.5285 | 0.0 |
| 4 | -4.1806 | 0.0 |
| 5 | -5.9452 | 4.8 |
| 6 | -6.5940 | 0.0 |
| 7 | -4.2099 | 0.0 |
| 8 | -3.9414 | 3.3 |
| 9 | -3.6469 | 0.0 |
| 10 | -7.1981 | 0.0 |
| 11 | -3.8284 | 3.4 |
| 12 | -3.8275 | 0.0 |
| 13 | -4.5649 | 0.6 |
| 14 | -4.2579 | 0.0 |
| 15 | -5.8690 | 1.1 |
| 16 | -3.9081 | 0.0 |
| 17 | -8.4081 | 1.2 |
| 18 | -4.1065 | 0.0 |
| 19 | -3.9541 | 0.0 |
| 20 | -8.1983 | 0.0 |